1.
Pm4Pr7Sm, optimized geometry, DFT PBE; distance to the lowest polymorph of the same formula = 0.000 eV per formula unit; formation enthalpy at 0 K = 0.0094 eV per atom; mass density = 6.68 g/cm³; magnetic moment = 0.00 μB per cell; E_tot = -4.755 eV per atom
1.0
6.430 0.000 0.000
0.002 7.429 0.000
2.146 0.005 8.929
Pm Pr Sm
4 7 1
Direct
0.222 0.000 0.333
0.277 0.751 0.669
0.723 0.249 0.331
0.778 0.000 0.667
0.000 0.000 0.000
0.222 0.500 0.332
0.278 0.250 0.668
0.500 0.250 0.001
0.500 0.750 0.999
0.722 0.750 0.332
0.778 0.500 0.668
0.000 0.500 0.000

***

2.
PmTmZnIr, optimized geometry, DFT PBE; distance to the lowest polymorph of the same formula = 0.000 eV per formula unit; formation enthalpy at 0 K = -0.5845 eV per atom; mass density = 10.97 g/cm³; magnetic moment = 0.00 μB per cell; E_tot = -5.424 eV per atom
1.0
0.000 3.510 3.510
3.510 0.000 3.510
3.510 3.510 0.000
Pm Tm Zn Ir
1 1 1 1
Direct
0.000 0.000 0.000
0.500 0.500 0.500
0.250 0.250 0.250
0.750 0.750 0.750

***

3.
SrLaY, optimized geometry, DFT PBE; distance to the lowest polymorph of the same formula = 0.223 eV per formula unit; formation enthalpy at 0 K = 0.1823 eV per atom; mass density = 4.43 g/cm³; magnetic moment = 0.00 μB per cell; E_tot = -4.175 eV per atom
1.0
-1.877 2.683 5.865
1.877 -2.683 5.865
1.877 2.683 -5.865
Sr La Y
1 1 1
Direct
0.000 0.000 0.000
0.320 0.320 0.000
0.673 0.673 0.000

***

4.
LaZrSb, optimized geometry, DFT PBE; mass density = 6.31 g/cm³; magnetic moment = 0.35 μB per cell; E_tot = -6.172 eV per atom; E_form (uncorrected) = -0.306 eV/atom
1.0
4.018 0.000 0.000
-2.009 3.479 0.000
0.000 0.000 6.628
La Zr Sb
1 1 1
Direct
0.000 0.000 0.000
0.333 0.667 0.589
0.667 0.333 0.336

***

5.
ScB2Mo, optimized geometry, DFT PBE; distance to the lowest polymorph of the same formula = 0.040 eV per formula unit; formation enthalpy at 0 K = -0.5871 eV per atom; mass density = 5.85 g/cm³; magnetic moment = 0.00 μB per cell; E_tot = -8.216 eV per atom
1.0
3.110 0.000 0.000
0.000 4.821 0.000
0.000 0.000 6.158
Sc B Mo
2 4 2
Direct
0.000 0.127 0.000
0.000 0.873 0.500
0.000 0.359 0.363
0.000 0.641 0.863
0.500 0.180 0.306
0.500 0.820 0.806
0.500 0.385 0.650
0.500 0.615 0.150

***

6.
Np2Mn2Ge2C, optimized geometry, DFT PBE; formation enthalpy at 0 K = -0.1301 eV per atom; mass density = 11.04 g/cm³; magnetic moment = 10.31 μB per cell; E_tot = -9.084 eV per atom
1.0
-1.964 1.964 7.221
1.964 -1.964 7.221
1.964 1.964 -7.221
Np Mn Ge C
2 2 2 1
Direct
0.176 0.176 0.000
0.824 0.824 0.000
0.000 0.500 0.500
0.500 0.000 0.500
0.390 0.390 0.000
0.610 0.610 0.000
0.000 0.000 0.000

***

7.
Cd2AsW, optimized geometry, DFT PBE; formation enthalpy at 0 K = 0.6582 eV per atom; mass density = 10.74 g/cm³; magnetic moment = 0.71 μB per cell; E_tot = -4.200 eV per atom
1.0
-2.090 2.090 4.280
2.090 -2.090 4.280
2.090 2.090 -4.280
Cd As W
2 1 1
Direct
0.000 0.000 0.000
0.750 0.250 0.500
0.500 0.500 0.000
0.250 0.750 0.500

***

8.
SiAsH2, optimized geometry, DFT PBE; distance to the lowest polymorph of the same formula = 1.434 eV per formula unit; mass density = 3.71 g/cm³; magnetic moment = 0.00 μB per cell; E_tot = -3.579 eV per atom
1.0
-2.560 2.560 3.583
2.560 -2.560 3.583
2.560 2.560 -3.583
Si As H
2 2 4
Direct
0.000 0.000 0.000
0.750 0.250 0.500
0.250 0.750 0.500
0.500 0.500 0.000
0.375 0.030 0.155
0.780 0.625 0.655
0.875 0.220 0.845
0.970 0.125 0.345

***

9.
GdThAlAu, optimized geometry, DFT PBE; formation enthalpy at 0 K = -0.4335 eV per atom; mass density = 10.01 g/cm³; magnetic moment = 8.13 μB per cell; E_tot = -7.564 eV per atom
1.0
0.000 3.706 3.706
3.706 0.000 3.706
3.706 3.706 0.000
Gd Th Al Au
1 1 1 1
Direct
0.000 0.000 0.000
0.500 0.500 0.500
0.250 0.250 0.250
0.750 0.750 0.750

***

10.
DyMgCu, optimized geometry, DFT PBE; formation enthalpy at 0 K = -0.0610 eV per atom; mass density = 6.45 g/cm³; magnetic moment = 0.00 μB per cell; E_tot = -3.492 eV per atom
1.0
4.695 0.000 0.000
-2.348 4.066 0.000
0.000 0.000 3.378
Dy Mg Cu
1 1 1
Direct
0.000 0.000 0.000
0.333 0.667 0.500
0.667 0.333 0.500

***

11.
Tl2MoSe, optimized geometry, DFT PBE; distance to the lowest polymorph of the same formula = 2.442 eV per formula unit; mass density = 10.16 g/cm³; magnetic moment = 3.53 μB per cell; E_tot = -4.075 eV per atom; E_form (uncorrected) = 0.687 eV/atom
1.0
0.000 3.626 3.626
3.626 0.000 3.626
3.626 3.626 0.000
Tl Mo Se
2 1 1
Direct
0.000 0.000 0.000
0.250 0.250 0.250
0.750 0.750 0.750
0.500 0.500 0.500